DFT (PBE-GGA) results for a geometry-optimized MnCd2Pt structure.

Output
Energy   -4.358 eV per atom
Symmetry   No. 119
DOS(E_F)   2.0 states/eV/f.u.
DFT formation energy   -98 meV/atom

Cell lengths 4.9273, 4.9273, 4.9273 Å; angles 128.83, 128.83, 75.29 degrees
Closest atoms and distances in Å follow each position.
Fractional positions:
Cd: 0.2500 0.7500 0.5000  4 Mn 2.89, 4 Cd 2.89, 4 Pt 3.01
Cd: 0.0000 0.0000 0.0000  4 Cd 2.89, 4 Pt 2.89, 4 Mn 3.01
Mn: 0.5000 0.5000 0.0000  4 Pt 2.89, 8 Cd 2.89-3.01
Pt: 0.7500 0.2500 0.5000  8 Cd 2.89-3.01, 4 Mn 2.89